*P*
Computed, not measured: a relaxed structure of LaTcSe3 at the PBE level of DFT.

Results
V: 123.3 Å³/cell
Total magnetic moment: 2.5 μB per formula unit
SG: Pm-3m (221)

Lattice parameters (Å, degrees): 4.977 4.977 4.977 90.00 90.00 90.00
Site moments in Bohr magnetons follow the coordinates.
Fractional coordinates of all 5 atoms:
Tc (0.000, 0.000, 0.000)  1.86
Se (0.000, 0.500, 0.000)  0.03
Se (0.000, 0.000, 0.500)  0.01
Se (0.500, 0.000, 0.000)  0.12
La (0.500, 0.500, 0.500)  0.08

---

*Q*
Computed, not measured: a relaxed structure of LaTcSe3 at the PBE level of DFT.

Results
V: 182.7 Å³/cell
Total magnetic moment: 0.1 μB per formula unit
SG: Pm-3m (221)

Lattice parameters (Å, degrees): 5.674 5.674 5.674 90.00 90.00 90.00
Site moments in Bohr magnetons follow the coordinates.
Fractional coordinates of all 5 atoms:
Tc (0.500, 0.500, 0.500)  -0.57
Se (0.000, 0.500, 0.000)  0.12
Se (0.000, 0.000, 0.500)  0.09
Se (0.500, 0.000, 0.000)  0.14
La (0.000, 0.000, 0.000)  0.00

---

Most stable pick: *P*. Distance to second place: 1510 meV/atom.

---

*P*
Computed, not measured: a relaxed structure of LaTc3Se at the PBE level of DFT.

Results
V: 101.6 Å³/cell
Total magnetic moment: 0.8 μB per formula unit
SG: Pm-3m (221)

Lattice parameters (Å, degrees): 4.667 4.667 4.667 90.00 90.00 90.00
Site moments in Bohr magnetons follow the coordinates.
Fractional coordinates of all 5 atoms:
Tc (0.000, 0.500, 0.000)  0.30
Tc (0.000, 0.000, 0.500)  0.15
Tc (0.500, 0.000, 0.000)  0.21
Se (0.000, 0.000, 0.000)  -0.01
La (0.500, 0.500, 0.500)  0.02

---

*Q*
Computed, not measured: a relaxed structure of LaTc3Se at the PBE level of DFT.

Results
V: 115.4 Å³/cell
Total magnetic moment: 5.8 μB per formula unit
SG: Pm-3m (221)

Lattice parameters (Å, degrees): 4.868 4.868 4.868 90.00 90.00 90.00
Site moments in Bohr magnetons follow the coordinates.
Fractional coordinates of all 5 atoms:
Tc (0.000, 0.500, 0.000)  1.85
Tc (0.000, 0.000, 0.500)  1.74
Tc (0.500, 0.000, 0.000)  1.62
Se (0.500, 0.500, 0.500)  0.07
La (0.000, 0.000, 0.000)  -0.02

---

Most stable pick: *P*. Distance to second place: 1701 meV/atom.

---

*P*
Computed, not measured: a relaxed structure of LaTcSe at the PBE level of DFT.

Results
V: 68.3 Å³/cell
Total magnetic moment: 0.0 μB per formula unit
SG: F-43m (216)

Lattice parameters (Å, degrees): 4.587 4.587 4.587 60.00 60.00 60.00
Fractional coordinates of all 3 atoms:
La (0.000, 0.000, 0.000)
Se (0.500, 0.500, 0.500)
Tc (0.750, 0.750, 0.750)

---

*Q*
Computed, not measured: a relaxed structure of LaTcSe at the PBE level of DFT.

Results
V: 66.9 Å³/cell
Total magnetic moment: 1.3 μB per formula unit
SG: P-6m2 (187)

Lattice parameters (Å, degrees): 4.385 4.385 4.019 90.00 90.00 120.00
Site moments in Bohr magnetons follow the coordinates.
Fractional coordinates of all 3 atoms:
La (0.000, 0.000, 0.000)  0.05
Se (0.667, 0.333, 0.500)  0.04
Tc (0.333, 0.667, 0.500)  0.98

---

*R*
Computed, not measured: a relaxed structure of LaTcSe at the PBE level of DFT.

Results
V: 85.8 Å³/cell
Total magnetic moment: 3.1 μB per formula unit
SG: F-43m (216)

Lattice parameters (Å, degrees): 4.950 4.950 4.950 60.00 60.00 60.00
Site moments in Bohr magnetons follow the coordinates.
Fractional coordinates of all 3 atoms:
La (0.750, 0.750, 0.750)  0.05
Se (0.000, 0.000, 0.000)  0.11
Tc (0.500, 0.500, 0.500)  2.44

---

Most stable pick: *Q*. Distance to second place: 302 meV/atom.